# Ga2SnAu

A geometry-optimized Ga2SnAu structure (PBE, Alexandria).

Structure (CIF):
```
data_Ga2SnAu
_space_group_name_H-M_alt 'P 1'
_space_group_IT_number 1
_cell_length_a 3.488
_cell_length_b 3.488
_cell_length_c 24.749
_cell_angle_alpha 90.00
_cell_angle_beta 90.00
_cell_angle_gamma 120.00
loop_
_space_group_symop_operation_xyz
'x,y,z'
loop_
_atom_site_label
_atom_site_type_symbol
_atom_site_fract_x
_atom_site_fract_y
_atom_site_fract_z
_atom_site_occupancy
Ga1 Ga 0.000 0.000 0.000 1
Ga2 Ga 0.000 0.000 0.190 1
Ga3 Ga 0.333 0.667 0.667 1
Ga4 Ga 0.333 0.667 0.856 1
Ga5 Ga 0.667 0.333 0.333 1
Ga6 Ga 0.667 0.333 0.523 1
Sn1 Sn 0.000 0.000 0.429 1
Sn2 Sn 0.333 0.667 0.096 1
Sn3 Sn 0.667 0.333 0.762 1
Au1 Au 0.000 0.000 0.595 1
Au2 Au 0.333 0.667 0.262 1
Au3 Au 0.667 0.333 0.928 1
```

## Properties
- Total magnetic moment: 0.00 μB per cell
- DFT formation energy: -0.045 eV per atom

---

# Ga2Sn2Au5

A geometry-optimized Ga2Sn2Au5 structure (PBE, Alexandria).

Structure (CIF):
```
data_Ga2Sn2Au5
_space_group_name_H-M_alt 'P 1'
_space_group_IT_number 1
_cell_length_a 3.887
_cell_length_b 7.026
_cell_length_c 7.432
_cell_angle_alpha 86.89
_cell_angle_beta 75.40
_cell_angle_gamma 74.24
loop_
_space_group_symop_operation_xyz
'x,y,z'
loop_
_atom_site_label
_atom_site_type_symbol
_atom_site_fract_x
_atom_site_fract_y
_atom_site_fract_z
_atom_site_occupancy
Ga1 Ga 0.227 0.323 0.214 1
Ga2 Ga 0.773 0.677 0.786 1
Sn1 Sn 0.094 0.101 0.706 1
Sn2 Sn 0.906 0.899 0.294 1
Au1 Au 0.370 0.408 0.854 1
Au2 Au 0.376 0.711 0.541 1
Au3 Au 0.500 0.000 0.000 1
Au4 Au 0.624 0.289 0.459 1
Au5 Au 0.630 0.592 0.146 1
```

## Properties
- Excess energy over the best structure of this formula in the dataset: 0.00 kcal/mol of atoms
- Total magnetic moment: 0.00 μB per cell
- DFT formation energy: -0.175 eV per atom

---

# GaSn6Au

A geometry-optimized GaSn6Au structure (PBE, Alexandria).

Structure (CIF):
```
data_GaSn6Au
_space_group_name_H-M_alt 'P 1'
_space_group_IT_number 1
_cell_length_a 8.421
_cell_length_b 8.421
_cell_length_c 9.780
_cell_angle_alpha 124.95
_cell_angle_beta 124.95
_cell_angle_gamma 70.48
loop_
_space_group_symop_operation_xyz
'x,y,z'
loop_
_atom_site_label
_atom_site_type_symbol
_atom_site_fract_x
_atom_site_fract_y
_atom_site_fract_z
_atom_site_occupancy
Ga1 Ga 0.000 0.500 0.000 1
Ga2 Ga 0.500 0.000 0.000 1
Sn1 Sn 0.002 0.695 0.845 1
Sn2 Sn 0.152 0.846 0.651 1
Sn3 Sn 0.154 0.848 0.349 1
Sn4 Sn 0.305 0.998 0.155 1
Sn5 Sn 0.344 0.344 0.692 1
Sn6 Sn 0.352 0.352 0.004 1
Sn7 Sn 0.648 0.648 0.996 1
Sn8 Sn 0.656 0.656 0.308 1
Sn9 Sn 0.695 0.002 0.845 1
Sn10 Sn 0.846 0.152 0.651 1
Sn11 Sn 0.848 0.154 0.349 1
Sn12 Sn 0.998 0.305 0.155 1
Au1 Au 0.000 0.500 0.500 1
Au2 Au 0.500 0.000 0.500 1
```

## Properties
- Total magnetic moment: 0.00 μB per cell
- DFT formation energy: 0.026 eV per atom

---

# Ga2Sn2Au

A geometry-optimized Ga2Sn2Au structure (PBE, Alexandria).

Structure (CIF):
```
data_Ga2Sn2Au
_space_group_name_H-M_alt 'P 1'
_space_group_IT_number 1
_cell_length_a 7.505
_cell_length_b 7.505
_cell_length_c 4.262
_cell_angle_alpha 90.00
_cell_angle_beta 90.00
_cell_angle_gamma 90.00
loop_
_space_group_symop_operation_xyz
'x,y,z'
loop_
_atom_site_label
_atom_site_type_symbol
_atom_site_fract_x
_atom_site_fract_y
_atom_site_fract_z
_atom_site_occupancy
Ga1 Ga 0.137 0.363 0.000 1
Ga2 Ga 0.363 0.863 0.000 1
Ga3 Ga 0.637 0.137 0.000 1
Ga4 Ga 0.863 0.637 0.000 1
Sn1 Sn 0.161 0.661 0.500 1
Sn2 Sn 0.339 0.161 0.500 1
Sn3 Sn 0.661 0.839 0.500 1
Sn4 Sn 0.839 0.339 0.500 1
Au1 Au 0.000 0.000 0.500 1
Au2 Au 0.500 0.500 0.500 1
```

## Properties
- Excess energy over the best structure of this formula in the dataset: 1.90 kcal/mol of atoms
- Total magnetic moment: 0.00 μB per cell
- DFT formation energy: 0.057 eV per atom

---

# GaSn2Au6

A geometry-optimized GaSn2Au6 structure (PBE, Alexandria).

Structure (CIF):
```
data_GaSn2Au6
_space_group_name_H-M_alt 'P 1'
_space_group_IT_number 1
_cell_length_a 6.701
_cell_length_b 6.701
_cell_length_c 8.230
_cell_angle_alpha 119.03
_cell_angle_beta 119.03
_cell_angle_gamma 38.71
loop_
_space_group_symop_operation_xyz
'x,y,z'
loop_
_atom_site_label
_atom_site_type_symbol
_atom_site_fract_x
_atom_site_fract_y
_atom_site_fract_z
_atom_site_occupancy
Ga1 Ga 0.000 0.000 0.000 1
Sn1 Sn 0.130 0.130 0.470 1
Sn2 Sn 0.870 0.870 0.530 1
Au1 Au 0.119 0.119 0.813 1
Au2 Au 0.272 0.272 0.289 1
Au3 Au 0.375 0.375 0.958 1
Au4 Au 0.625 0.625 0.042 1
Au5 Au 0.728 0.728 0.711 1
Au6 Au 0.881 0.881 0.187 1
```

## Properties
- Total magnetic moment: 0.00 μB per cell
- DFT formation energy: -0.102 eV per atom

---

# GaSn2Au2

A geometry-optimized GaSn2Au2 structure (PBE, Alexandria).

Structure (CIF):
```
data_GaSn2Au2
_space_group_name_H-M_alt 'P 1'
_space_group_IT_number 1
_cell_length_a 7.285
_cell_length_b 7.285
_cell_length_c 4.259
_cell_angle_alpha 90.00
_cell_angle_beta 90.00
_cell_angle_gamma 90.00
loop_
_space_group_symop_operation_xyz
'x,y,z'
loop_
_atom_site_label
_atom_site_type_symbol
_atom_site_fract_x
_atom_site_fract_y
_atom_site_fract_z
_atom_site_occupancy
Ga1 Ga 0.000 0.000 0.000 1
Ga2 Ga 0.500 0.500 0.000 1
Sn1 Sn 0.167 0.333 0.500 1
Sn2 Sn 0.333 0.833 0.500 1
Sn3 Sn 0.667 0.167 0.500 1
Sn4 Sn 0.833 0.667 0.500 1
Au1 Au 0.141 0.641 0.000 1
Au2 Au 0.359 0.141 0.000 1
Au3 Au 0.641 0.859 0.000 1
Au4 Au 0.859 0.359 0.000 1
```

## Properties
- Excess energy over the best structure of this formula in the dataset: 2.06 kcal/mol of atoms
- Total magnetic moment: 0.00 μB per cell
- DFT formation energy: -0.049 eV per atom

---

# GaSnAu14

A geometry-optimized GaSnAu14 structure (PBE, Alexandria).

Structure (CIF):
```
data_GaSnAu14
_space_group_name_H-M_alt 'P 1'
_space_group_IT_number 1
_cell_length_a 9.508
_cell_length_b 5.917
_cell_length_c 5.917
_cell_angle_alpha 62.31
_cell_angle_beta 90.00
_cell_angle_gamma 90.00
loop_
_space_group_symop_operation_xyz
'x,y,z'
loop_
_atom_site_label
_atom_site_type_symbol
_atom_site_fract_x
_atom_site_fract_y
_atom_site_fract_z
_atom_site_occupancy
Ga1 Ga 0.000 0.000 0.000 1
Sn1 Sn 0.000 0.496 0.496 1
Au1 Au 0.000 0.505 0.996 1
Au2 Au 0.000 0.996 0.505 1
Au3 Au 0.245 0.166 0.166 1
Au4 Au 0.250 0.162 0.672 1
Au5 Au 0.250 0.672 0.162 1
Au6 Au 0.254 0.668 0.668 1
Au7 Au 0.500 0.491 0.998 1
Au8 Au 0.500 0.495 0.495 1
Au9 Au 0.500 0.996 0.996 1
Au10 Au 0.500 0.998 0.491 1
Au11 Au 0.746 0.668 0.668 1
Au12 Au 0.750 0.162 0.672 1
Au13 Au 0.750 0.672 0.162 1
Au14 Au 0.755 0.166 0.166 1
```

## Properties
- Total magnetic moment: 0.00 μB per cell
- DFT formation energy: -0.005 eV per atom

---

# SrGa2SnAu5

A geometry-optimized SrGa2SnAu5 structure (PBE, Alexandria).

Structure (CIF):
```
data_SrGa2SnAu5
_space_group_name_H-M_alt 'P 1'
_space_group_IT_number 1
_cell_length_a 4.929
_cell_length_b 4.929
_cell_length_c 9.186
_cell_angle_alpha 90.00
_cell_angle_beta 90.00
_cell_angle_gamma 90.00
loop_
_space_group_symop_operation_xyz
'x,y,z'
loop_
_atom_site_label
_atom_site_type_symbol
_atom_site_fract_x
_atom_site_fract_y
_atom_site_fract_z
_atom_site_occupancy
Sr1 Sr 0.000 0.000 0.000 1
Ga1 Ga 0.500 0.500 0.270 1
Ga2 Ga 0.500 0.500 0.730 1
Sn1 Sn 0.000 0.000 0.500 1
Au1 Au 0.000 0.500 0.329 1
Au2 Au 0.000 0.500 0.671 1
Au3 Au 0.500 0.000 0.329 1
Au4 Au 0.500 0.000 0.671 1
Au5 Au 0.500 0.500 0.000 1
```

## Properties
- Total magnetic moment: 0.00 μB per cell
- DFT formation energy: -0.253 eV per atom

---

no.,Fermi-level density of states (states/eV/f.u.)
1,1.28
2,2.33
3,4.04
4,2.09
5,2.16
6,2.67
7,6.87
8,3.99